Entry from Alexandria: a geometry-optimized CaY2Be structure (GGA-PBE).

```
CaY2Be
1.0
3.5172 0.0000 0.0000
0.0000 3.5172 0.0000
0.0000 0.0000 9.0977
Ca Y Be
1 2 1
Direct
0.0000 0.0000 0.0000 Ca
0.5000 0.5000 0.3236 Y
0.5000 0.5000 0.6764 Y
0.0000 0.0000 0.5000 Be
```

Properties
Space group: P4/mmm (123)
Energy relative to the elements: 0.10 eV/atom
Crystal system: tetragonal
Calculated density: 3.3 g/cm³
DOS(E_F): 5.62 states/eV per cell
E: -4.568 eV per atom